First-principles (SCAN) data for Cd2NiBr at its PBEsol-relaxed geometry, as listed in Alexandria via LeMat-Bulk.

Computed properties:
N(E_F) = 2.49 states/eV per cell
formation energy from raw total energies = 0.071 eV/atom
symmetry = R3m, No. 160
relative energy among the computed polymorphs = 0 meV/atom
M_tot = 1.027 μB per cell

Structure (CIF):
```
data_Cd2NiBr
_symmetry_space_group_name_H-M 'P 1'
_symmetry_Int_Tables_number 1
_symmetry_space_group_name_Hall 'P 1'
_cell_length_a 3.3660
_cell_length_b 3.3660
_cell_length_c 8.2256
_cell_angle_alpha 78.19
_cell_angle_beta 78.19
_cell_angle_gamma 60.00
loop_
_atom_site_label
_atom_site_type_symbol
_atom_site_fract_x
_atom_site_fract_y
_atom_site_fract_z
_atom_site_occupancy
Br1 Br 0.2311 0.2311 0.3068 1
Cd1 Cd 0.0021 0.0021 0.9938 1
Cd2 Cd 0.7626 0.7626 0.7121 1
Ni1 Ni 0.5042 0.5042 0.4874 1
```